La2CdMo, optimized geometry, DFT PBE-GGA; ΔE_f = 0.1518 eV/atom; crystal system = monoclinic; symmetry = P2/m; VASP energy = -20.99 eV per cell; total magnetic moment = 0.000 μB/atom
1.0
-0.994 -3.365 0.915
3.258 -1.235 -1.004
2.839 1.257 7.702
Mo La Cd
1 2 1
Cartesian
1.842 -1.986 1.881
4.575 -0.650 2.577
0.103 0.043 0.271
3.261 -1.358 5.732

***

LaCd2Mo, optimized geometry, DFT PBE-GGA; ΔE_f = 0.2411 eV/atom; crystal system = orthorhombic; polymorph energy (0 for the lowest one) = 0 meV per atom; symmetry = Immm; VASP energy = -16.62 eV per cell; total magnetic moment = 0.000 μB/atom
1.0
-2.063 3.244 -4.918
-0.177 0.650 -6.206
-3.964 -1.912 -1.955
Cd Mo La
2 1 1
Cartesian
-3.154 0.816 -6.264
-3.912 -1.738 -2.230
-4.653 1.486 -9.809
-1.551 0.495 -3.270

***

LaCd2Mo, optimized geometry, DFT PBE-GGA; ΔE_f = 0.3617 eV/atom; crystal system = monoclinic; polymorph energy (0 for the lowest one) = 121 meV per atom; symmetry = Pm; VASP energy = -16.14 eV per cell; total magnetic moment = 0.000 μB/atom
1.0
-2.895 1.642 -3.621
-1.290 -2.710 -0.198
-4.497 1.089 4.089
Mo Cd La
1 2 1
Cartesian
-6.020 -0.319 1.328
-2.627 0.787 -0.883
-4.522 0.733 3.948
-2.902 -0.901 1.912